Mn2TeSe: PBEsol geometry, meta-GGA SCAN.

Relative energy among the computed polymorphs, meV per atom: 365
Electronic total energy, eV per atom: -23.691
Formation energy without anion corrections, eV/atom: -0.231
Theoretical density, kg/m³: 7627
M_tot, μB/f.u.: 6.373
Space group: Amm2 (38)
D(E_F), states/eV per cell: 3.30

a b c (Å): 3.3894 6.1767 6.1767
angles (deg): 32.19 90.00 90.00
Sites, in units of the cell vectors:
Mn1 0.0000 0.0000 0.0000
Mn2 0.5000 0.1714 0.1714
Te1 0.0000 0.7794 0.7794
Se1 0.5000 0.5256 0.5256